Compound: Zr2AsP
Source: Alexandria via LeMat-Bulk
Functional: GGA-PBE
Structure: relaxed

Its symmetry is I-42d (122). As for the final energy: -7.34 eV/atom.

Unit cell a=5.9683 b=5.9683 c=7.3056 alpha=65.89 beta=65.89 gamma=90.00
Sites, in units of the cell vectors:
1 As 0.0000 0.0000 0.0000
2 As 0.7500 0.2500 0.5000
3 Zr 0.6111 0.1250 0.2500
4 Zr 0.3750 0.3889 0.7500
5 Zr 0.8750 0.8611 0.7500
6 Zr 0.1389 0.6250 0.2500
7 P 0.2500 0.7500 0.5000
8 P 0.5000 0.5000 0.0000

Compound: ZrAsP4
Source: Alexandria via LeMat-Bulk
Functional: GGA-PBE
Structure: relaxed

Its symmetry is F-43m (216). As for the final energy: -5.60 eV/atom.

Unit cell a=5.1443 b=5.1443 c=5.1443 alpha=60.00 beta=60.00 gamma=60.00
Sites, in units of the cell vectors:
1 P 0.3749 0.3749 0.3749
2 P 0.8754 0.3749 0.3749
3 P 0.3749 0.3749 0.8754
4 P 0.3749 0.8754 0.3749
5 Zr 0.7500 0.7500 0.7500
6 As 0.0000 0.0000 0.0000